[1]
VASP calculation (GGA-PBE) on crystalline Pm3DyCo at its relaxed geometry.

Results
As for the mass density: 7.34 g/cm³. As for the crystal system: monoclinic. The total magnetic moment is 0.00 μB/cell. For the energy above the most stable polymorph in this dataset, the calculation gives 0.0 kJ/mol of atoms. As for the total energy: -5.266 eV/atom.

Cell lengths 11.763, 8.518, 8.330 Å; angles 90.00, 134.64, 90.00 degrees
Space group C2/m (No. 12)
Asymmetric unit:
Pm: 0.046 0.000 0.338 x4
Pm: 0.249 0.296 0.790 x8
Dy: 0.045 0.500 0.247 x4
Co: 0.248 0.500 0.133 x4


[2]
VASP calculation (GGA-PBE) on crystalline Pm2DyCo at its relaxed geometry.

Results
As for the mass density: 7.81 g/cm³. As for the crystal system: tetragonal. The total magnetic moment is 1.52 μB/cell. For the energy above the most stable polymorph in this dataset, the calculation gives 15.2 kJ/mol of atoms. As for the total energy: -5.249 eV/atom.

Cell lengths 3.504, 3.504, 8.859 Å; angles 90.00, 90.00, 90.00 degrees
Space group P4/mmm (No. 123)
Asymmetric unit:
Pm: 0.000 0.000 0.189 x2
Dy: 0.500 0.500 0.500 x1
Co: 0.500 0.500 0.000 x1


[3]
VASP calculation (GGA-PBE) on crystalline Pm12DyCo6 at its relaxed geometry.

Results
As for the mass density: 7.45 g/cm³. As for the crystal system: cubic. The total magnetic moment is 0.02 μB/cell. As for the total energy: -5.548 eV/atom.

Cell lengths 10.019, 10.019, 10.019 Å; angles 90.00, 90.00, 90.00 degrees
Space group Im-3 (No. 204)
Asymmetric unit:
Pm: 0.000 0.195 0.310 x24
Dy: 0.000 0.000 0.000 x2
Co: 0.000 0.388 0.500 x12


[4]
VASP calculation (GGA-PBE) on crystalline PmDy12Co6 at its relaxed geometry.

Results
As for the mass density: 8.72 g/cm³. As for the crystal system: cubic. The total magnetic moment is 0.00 μB/cell. As for the total energy: -5.536 eV/atom.

Cell lengths 9.771, 9.771, 9.771 Å; angles 90.00, 90.00, 90.00 degrees
Space group Im-3 (No. 204)
Asymmetric unit:
Pm: 0.000 0.000 0.000 x2
Dy: 0.000 0.194 0.309 x24
Co: 0.000 0.387 0.500 x12